Entry 1:
# Rb2Pd3F8

A relaxed structure of Rb2Pd3F8 (PBE, the Alexandria database).

Calculated values
The space group is C2/m, No. 12. The uncorrected formation energy is -1.63 eV per atom. The calculation puts the total magnetization at 6.0 μB per cell.

Lattice parameters (Å, degrees): 7.4255 7.4255 5.8732 107.16 107.16 55.11
Fractional positions:
Rb (0.2221, 0.2221, 0.1694)
Rb (0.7779, 0.7779, 0.8306)
Pd (0.2464, 0.7536, 0.5000)
Pd (0.5000, 0.5000, 0.0000)
Pd (0.7536, 0.2464, 0.5000)
F (0.0982, 0.0982, 0.4588)
F (0.1863, 0.6226, 0.1151)
F (0.3774, 0.8137, 0.8849)
F (0.4087, 0.4087, 0.5965)
F (0.5913, 0.5913, 0.4035)
F (0.6226, 0.1863, 0.1151)
F (0.8137, 0.3774, 0.8849)
F (0.9018, 0.9018, 0.5412)

Entry 2:
# LiGaBiSb2

A relaxed structure of LiGaBiSb2 (PBE, the Alexandria database).

Calculated values
The space group is P4/mmm, No. 123. The uncorrected formation energy is 0.20 eV per atom. The calculation puts the total magnetization at 0.0 μB per cell.

Lattice parameters (Å, degrees): 5.1987 5.1987 4.7611 90.00 90.00 90.00
Fractional positions:
Li (0.0000, 0.0000, 0.0000)
Ga (0.0000, 0.0000, 0.5000)
Bi (0.5000, 0.5000, 0.5000)
Sb (0.0000, 0.5000, 0.0000)
Sb (0.5000, 0.0000, 0.0000)

Entry 3:
# RhAu

A relaxed structure of RhAu (PBE, the Alexandria database).

Calculated values
The space group is Cmcm, No. 63. The calculation puts the total magnetization at 0.0 μB per cell. The formation energy comes out at 0.219 eV per atom.

Lattice parameters (Å, degrees): 6.8391 6.8391 3.6599 90.00 90.00 156.55
Fractional positions:
Rh (0.2034, 0.7966, 0.7500)
Rh (0.7966, 0.2034, 0.2500)
Au (0.4216, 0.5784, 0.7500)
Au (0.5784, 0.4216, 0.2500)

Entry 4:
# PrDy4In5

A relaxed structure of PrDy4In5 (PBE, the Alexandria database).

Calculated values
The space group is P4/mmm, No. 123. The calculation puts the total magnetization at 0.0 μB per cell. The formation energy comes out at -0.473 eV per atom.

Lattice parameters (Å, degrees): 3.7778 3.7778 19.0379 90.00 90.00 90.00
Fractional positions:
Pr (0.0000, 0.0000, 0.0000)
Dy (0.0000, 0.0000, 0.2063)
Dy (0.0000, 0.0000, 0.4022)
Dy (0.0000, 0.0000, 0.5978)
Dy (0.0000, 0.0000, 0.7937)
In (0.5000, 0.5000, 0.1091)
In (0.5000, 0.5000, 0.3044)
In (0.5000, 0.5000, 0.5000)
In (0.5000, 0.5000, 0.6956)
In (0.5000, 0.5000, 0.8909)

Entry 5:
# Ca6P2AuN

A relaxed structure of Ca6P2AuN (PBE, the Alexandria database).

Calculated values
The space group is P2_1/c, No. 14. The uncorrected formation energy is -0.88 eV per atom. The calculation puts the total magnetization at 0.0 μB per cell.

Lattice parameters (Å, degrees): 6.8309 7.4392 11.4695 90.00 121.28 90.00
Fractional positions:
Ca (0.0661, 0.0630, 0.2246)
Ca (0.0661, 0.4370, 0.7246)
Ca (0.2285, 0.7137, 0.0812)
Ca (0.2285, 0.7863, 0.5812)
Ca (0.3550, 0.1616, 0.0622)
Ca (0.3550, 0.3384, 0.5622)
Ca (0.6450, 0.6616, 0.4378)
Ca (0.6450, 0.8384, 0.9378)
Ca (0.7715, 0.2137, 0.4188)
Ca (0.7715, 0.2863, 0.9188)
Ca (0.9339, 0.5630, 0.2754)
Ca (0.9339, 0.9370, 0.7754)
P (0.3114, 0.1022, 0.7656)
P (0.3114, 0.3978, 0.2656)
P (0.6886, 0.6022, 0.7344)
P (0.6886, 0.8978, 0.2344)
Au (0.5000, 0.0000, 0.5000)
Au (0.5000, 0.5000, 0.0000)
N (0.0000, 0.0000, 0.0000)
N (0.0000, 0.5000, 0.5000)

Entry 6:
# Cs2TcO4

A relaxed structure of Cs2TcO4 (PBE, the Alexandria database).

Calculated values
The space group is I4/mmm, No. 139. The uncorrected formation energy is -1.47 eV per atom. The calculation puts the total magnetization at 0.0 μB per cell.

Lattice parameters (Å, degrees): 8.4766 8.4766 8.4766 152.35 152.35 39.50
Fractional positions:
Cs (0.1486, 0.1486, 0.0000)
Cs (0.8514, 0.8514, 0.0000)
Tc (0.5000, 0.5000, 0.0000)
O (0.0000, 0.5000, 0.5000)
O (0.3844, 0.3844, 0.0000)
O (0.5000, 0.0000, 0.5000)
O (0.6156, 0.6156, 0.0000)

Entry 7:
# HgBiPd4

A relaxed structure of HgBiPd4 (PBE, the Alexandria database).

Calculated values
The space group is Cmcm, No. 63. The calculation puts the total magnetization at 0.0 μB per cell. The formation energy comes out at -0.076 eV per atom.

Lattice parameters (Å, degrees): 8.8330 8.8330 8.0103 90.00 90.00 158.98
Fractional positions:
Hg (0.2385, 0.7615, 0.7500)
Hg (0.7615, 0.2385, 0.2500)
Bi (0.4340, 0.5660, 0.7500)
Bi (0.5660, 0.4340, 0.2500)
Pd (0.0000, 0.0000, 0.0000)
Pd (0.0000, 0.0000, 0.5000)
Pd (0.1618, 0.8382, 0.0434)
Pd (0.1618, 0.8382, 0.4566)
Pd (0.4022, 0.5978, 0.2500)
Pd (0.5978, 0.4022, 0.7500)
Pd (0.8382, 0.1618, 0.5434)
Pd (0.8382, 0.1618, 0.9566)

Entry 8:
# Cd2HPd4

A relaxed structure of Cd2HPd4 (PBE, the Alexandria database).

Calculated values
The space group is I4/mmm, No. 139. As for the calculated total energy: -27.6 eV per formula unit. The calculation puts the total magnetization at 0.0 μB per cell.

Lattice parameters (Å, degrees): 7.4742 7.4742 7.4742 149.19 149.19 44.13
Fractional positions:
Cd (0.1533, 0.1533, 0.0000)
Cd (0.8467, 0.8467, 0.0000)
H (0.5000, 0.5000, 0.0000)
Pd (0.0000, 0.5000, 0.5000)
Pd (0.3483, 0.3483, 0.0000)
Pd (0.5000, 0.0000, 0.5000)
Pd (0.6517, 0.6517, 0.0000)

Entry 9:
# Pa2AlB2Ru5

A relaxed structure of Pa2AlB2Ru5 (PBE, the Alexandria database).

Calculated values
The space group is P4/mbm, No. 127. The calculation puts the total magnetization at 0.0 μB per cell. The formation energy comes out at -0.669 eV per atom.

Lattice parameters (Å, degrees): 9.5626 9.5626 3.1850 90.00 90.00 90.00
Fractional positions:
Pa (0.1762, 0.3238, 0.0000)
Pa (0.3238, 0.8238, 0.0000)
Pa (0.6762, 0.1762, 0.0000)
Pa (0.8238, 0.6762, 0.0000)
Al (0.0000, 0.0000, 0.0000)
Al (0.5000, 0.5000, 0.0000)
B (0.1222, 0.6222, 0.0000)
B (0.3778, 0.1222, 0.0000)
B (0.6222, 0.8778, 0.0000)
B (0.8778, 0.3778, 0.0000)
Ru (0.0000, 0.5000, 0.5000)
Ru (0.0708, 0.7815, 0.5000)
Ru (0.2185, 0.0708, 0.5000)
Ru (0.2815, 0.5708, 0.5000)
Ru (0.4292, 0.2815, 0.5000)
Ru (0.5000, 0.0000, 0.5000)
Ru (0.5708, 0.7185, 0.5000)
Ru (0.7185, 0.4292, 0.5000)
Ru (0.7815, 0.9292, 0.5000)
Ru (0.9292, 0.2185, 0.5000)

Entry 10:
# AlZnIn2

A relaxed structure of AlZnIn2 (PBE, the Alexandria database).

Calculated values
The space group is C2/m, No. 12. The calculation puts the total magnetization at 0.0 μB per cell. The formation energy comes out at 0.150 eV per atom.

Lattice parameters (Å, degrees): 5.2273 5.2273 3.2654 92.38 92.38 103.41
Fractional positions:
Al (0.0000, 0.0000, 0.0000)
Zn (0.5000, 0.5000, 0.0000)
In (0.0000, 0.5000, 0.5000)
In (0.5000, 0.0000, 0.5000)

Entry 11:
# Er4Al3Ag

A relaxed structure of Er4Al3Ag (PBE, the Alexandria database).

Calculated values
The space group is Pmm2, No. 25. The calculation puts the total magnetization at 0.0 μB per cell. The formation energy comes out at -0.350 eV per atom.

Lattice parameters (Å, degrees): 3.6400 4.5473 11.5148 90.00 90.00 90.00
Fractional positions:
Er (0.0000, 0.0000, 0.0000)
Er (0.0000, 0.5000, 0.3050)
Er (0.5000, 0.0000, 0.4966)
Er (0.5000, 0.5000, 0.8105)
Al (0.0000, 0.0000, 0.7206)
Al (0.0000, 0.5000, 0.5842)
Al (0.5000, 0.5000, 0.0809)
Ag (0.5000, 0.0000, 0.2231)

Q: Number 5 is which compound?
A: Ca6P2AuN

What did the eleventh record say?
# Er4Al3Ag

A relaxed structure of Er4Al3Ag (PBE, the Alexandria database).

Calculated values
The space group is Pmm2, No. 25. The calculation puts the total magnetization at 0.0 μB per cell. The formation energy comes out at -0.350 eV per atom.

Lattice parameters (Å, degrees): 3.6400 4.5473 11.5148 90.00 90.00 90.00
Fractional positions:
Er (0.0000, 0.0000, 0.0000)
Er (0.0000, 0.5000, 0.3050)
Er (0.5000, 0.0000, 0.4966)
Er (0.5000, 0.5000, 0.8105)
Al (0.0000, 0.0000, 0.7206)
Al (0.0000, 0.5000, 0.5842)
Al (0.5000, 0.5000, 0.0809)
Ag (0.5000, 0.0000, 0.2231)